# GGA-PBE GaCu3Ni6, relaxed
# * DOS at the Fermi energy: 12.32 states/eV/f.u.
# * E_form: 130.8 kJ/mol of formula units
data_GaCu3Ni6
_chemical_formula_sum 'Ga1 Cu3 Ni6'
_cell_length_a 4.7080
_cell_length_b 4.7080
_cell_length_c 6.3575
_cell_angle_alpha 90.00
_cell_angle_beta 90.00
_cell_angle_gamma 120.00
_space_group_name_H-M_alt 'P -3 1 m'
_space_group_IT_number 162
_space_group_name_Hall '-P 3 2'
loop_
_atom_site_label
_atom_site_fract_x
_atom_site_fract_y
_atom_site_fract_z
Ga1 0.0000 0.0000 0.0000
Cu1 0.0000 0.0000 0.5000
Cu2 0.3333 0.6667 0.5000
Ni1 0.0000 0.4405 0.8161